VASP calculation (PBE-GGA) on AcReRu2O8 after structural relaxation.

The structure in POSCAR format:
```
AcReRu2O8
1.0
4.810 0.073 -0.003
0.114 4.809 -0.005
0.005 0.008 6.665
O Ru Ac Re
8 2 1 1
direct
0.292 0.291 0.000 O
0.794 0.207 0.800 O
0.339 0.336 0.500 O
0.206 0.793 0.800 O
0.206 0.793 0.200 O
0.794 0.207 0.200 O
0.661 0.664 0.500 O
0.708 0.709 0.000 O
0.500 0.500 0.240 Ru
0.500 0.500 0.760 Ru
0.000 0.000 0.500 Ac
0.000 0.000 0.000 Re
```

Output
crystal system = monoclinic
D(E_F) = 5.926 states/eV/f.u.
total DFT energy (no corrections) = -7.743 eV per atom

VASP calculation (PBE-GGA) on Ac2ScReO8 after structural relaxation.

The structure in POSCAR format:
```
Ac2ScReO8
1.0
6.119 -1.001 0.536
-1.198 5.635 -0.548
0.888 -0.663 6.229
O Ac Sc Re
8 2 1 1
direct
0.925 0.204 0.847 O
0.683 0.732 0.517 O
0.310 0.235 0.988 O
0.095 0.825 0.723 O
0.317 0.268 0.483 O
0.905 0.175 0.277 O
0.075 0.796 0.153 O
0.690 0.765 0.012 O
0.351 0.596 0.790 Ac
0.649 0.404 0.210 Ac
0.000 0.000 0.500 Sc
0.000 0.000 0.000 Re
```

Output
crystal system = triclinic
D(E_F) = 0.000 states/eV/f.u.
total DFT energy (no corrections) = -8.310 eV per atom

VASP calculation (PBE-GGA) on AcSc2ReO8 after structural relaxation.

The structure in POSCAR format:
```
AcSc2ReO8
1.0
-4.065 2.874 0.533
-1.689 -0.606 -4.674
-4.212 -5.309 1.626
O Re Sc Ac
8 1 2 1
direct
0.671 0.671 0.500 O
0.796 0.196 0.802 O
0.251 0.251 0.965 O
0.804 0.204 0.198 O
0.329 0.329 0.500 O
0.196 0.796 0.802 O
0.749 0.749 0.035 O
0.204 0.804 0.198 O
0.000 0.000 0.000 Re
0.466 0.466 0.730 Sc
0.534 0.534 0.270 Sc
0.000 0.000 0.500 Ac
```

Output
crystal system = monoclinic
D(E_F) = 0.000 states/eV/f.u.
total DFT energy (no corrections) = -8.436 eV per atom

VASP calculation (PBE-GGA) on AcSm2ReO8 after structural relaxation.

The structure in POSCAR format:
```
AcSm2ReO8
1.0
5.197 0.026 -0.003
0.068 5.196 -0.006
0.005 0.008 7.128
O Ac Sm Re
8 1 2 1
direct
0.320 0.319 0.500 O
0.818 0.182 0.194 O
0.182 0.818 0.806 O
0.818 0.182 0.806 O
0.743 0.744 0.000 O
0.182 0.818 0.194 O
0.257 0.256 0.000 O
0.680 0.681 0.500 O
0.000 0.000 0.500 Ac
0.500 0.500 0.248 Sm
0.500 0.500 0.752 Sm
0.000 0.000 0.000 Re
```

Output
crystal system = orthorhombic
total DFT energy (no corrections) = -8.180 eV per atom

VASP calculation (PBE-GGA) on Sr2AcReO8 after structural relaxation.

The structure in POSCAR format:
```
Sr2AcReO8
1.0
4.586 -0.020 -0.002
0.050 5.750 -0.005
0.006 0.012 7.409
O Sr Re Ac
8 2 1 1
direct
0.929 0.221 0.820 O
0.431 0.247 0.500 O
0.072 0.779 0.820 O
0.071 0.779 0.180 O
0.928 0.221 0.180 O
0.569 0.753 0.500 O
0.410 0.103 0.000 O
0.590 0.897 0.000 O
0.500 0.500 0.256 Sr
0.500 0.500 0.744 Sr
0.000 0.000 0.000 Re
0.000 0.000 0.500 Ac
```

Output
crystal system = triclinic
D(E_F) = 2.255 states/eV/f.u.
total DFT energy (no corrections) = -7.141 eV per atom

VASP calculation (PBE-GGA) on Sr2AcReO6 after structural relaxation.

The structure in POSCAR format:
```
Sr2AcReO6
1.0
5.267 0.000 0.000
0.000 5.850 0.000
0.000 0.000 5.850
Sr O Re Ac
2 6 1 1
direct
0.999 0.500 0.000 Sr
0.999 0.000 0.500 Sr
0.250 0.000 0.000 O
0.727 0.221 0.779 O
0.727 0.779 0.779 O
0.727 0.221 0.221 O
0.126 0.500 0.500 O
0.727 0.779 0.221 O
0.585 0.000 0.000 Re
0.579 0.500 0.500 Ac
```

Output
crystal system = tetragonal
D(E_F) = 2.765 states/eV/f.u.
total DFT energy (no corrections) = -7.353 eV per atom